(1)
An optimized crystal structure of NdSm5Sc. Source: Alexandria, functional PBE-GGA.

Calculated values
Space group   No. 44
Density of states at the Fermi level   1.333 states/eV/atom
Offset from the most stable computed form   58.0 kJ/mol of atoms
Formation enthalpy at 0 K   0.85 eV/atom

a = 6.1088 Å, b = 7.9190 Å, c = 7.7068 Å
α = 120.92°, β = 113.35°, γ = 90.00°
Closest atoms and distances in Å follow each position.
Fractional coordinates of all 7 atoms:
Sc (0.6661, 0.5000, 0.0000)  5 Sm 2.86-3.17
Sm (0.1388, 0.5000, 0.0000)  2 Sc 2.89-3.22, 2 Sm 3.13
Sm (0.2030, 0.2542, 0.5084)  1 Nd 2.98, 1 Sc 3.17
Sm (0.4428, 0.1823, 0.0000)  1 Sc 2.86, 2 Sm 2.89-3.13
Sm (0.4428, 0.8177, 0.0000)  1 Sc 2.86, 2 Sm 2.89-3.13
Sm (0.6946, 0.7458, 0.4916)  1 Nd 2.98, 1 Sc 3.17
Nd (0.9427, 0.0000, 0.0000)  2 Sm 2.98

=====

(2)
An optimized crystal structure of NdSm4Sc. Source: Alexandria, functional PBE-GGA.

Calculated values
Space group   No. 12
Density of states at the Fermi level   1.375 states/eV/atom
Offset from the most stable computed form   0.0 kJ/mol of atoms
Formation enthalpy at 0 K   0.04 eV/atom

a = 6.2027 Å, b = 6.2016 Å, c = 6.1800 Å
α = 99.62°, β = 80.40°, γ = 59.89°
Closest atoms and distances in Å follow each position.
Fractional coordinates of all 6 atoms:
Sm (0.6671, 0.6667, 0.9999)  7 Sm 3.57-3.59, 2 Nd 3.57, 3 Sc 3.58
Sm (0.1636, 0.1633, 0.4998)  7 Sm 3.51-3.61, 2 Sc 3.55-3.56, 3 Nd 3.56-3.62
Sm (0.8364, 0.8367, 0.5002)  7 Sm 3.51-3.61, 2 Sc 3.55-3.56, 3 Nd 3.56-3.62
Sm (0.3329, 0.3333, 0.0001)  7 Sm 3.57-3.59, 2 Nd 3.57, 3 Sc 3.58
Sc (0.0000, 0.0000, 0.0000)  10 Sm 3.55-3.58, 2 Nd 3.57
Nd (0.5000, 0.5000, 0.5000)  10 Sm 3.56-3.62, 2 Sc 3.57

=====

(3)
An optimized crystal structure of NdSmSc4. Source: Alexandria, functional PBE-GGA.

Calculated values
Space group   No. 59
Density of states at the Fermi level   1.959 states/eV/atom
Offset from the most stable computed form   0.0 kJ/mol of atoms
Formation enthalpy at 0 K   0.05 eV/atom

a = 5.3743 Å, b = 11.5838 Å, c = 6.0361 Å
α = 90.00°, β = 90.00°, γ = 117.65°
Closest atoms and distances in Å follow each position.
Fractional coordinates of all 12 atoms:
Sc (0.1720, 0.9217, 0.4075)  7 Sc 3.29-3.52, 3 Sm 3.37, 2 Nd 3.40-3.59
Sc (0.1720, 0.4217, 0.5925)  7 Sc 3.29-3.52, 3 Sm 3.37, 2 Nd 3.40-3.59
Sc (0.8280, 0.5783, 0.4075)  7 Sc 3.29-3.52, 3 Sm 3.37, 2 Nd 3.40-3.59
Sc (0.6717, 0.9214, 0.0928)  7 Sc 3.29-3.52, 3 Nd 3.36-3.37, 2 Sm 3.40-3.59
Sc (0.8280, 0.0783, 0.5925)  7 Sc 3.29-3.52, 3 Sm 3.37, 2 Nd 3.40-3.59
Sc (0.3283, 0.5786, 0.0928)  7 Sc 3.29-3.52, 3 Nd 3.36-3.37, 2 Sm 3.40-3.59
Sc (0.6717, 0.4214, 0.9072)  7 Sc 3.29-3.52, 3 Nd 3.36-3.37, 2 Sm 3.40-3.59
Sc (0.3283, 0.0786, 0.9072)  7 Sc 3.29-3.52, 3 Nd 3.36-3.37, 2 Sm 3.40-3.59
Nd (0.0000, 0.2500, 0.0740)  10 Sc 3.36-3.59, 2 Sm 3.42
Nd (0.0000, 0.7500, 0.9260)  10 Sc 3.36-3.59, 2 Sm 3.42
Sm (0.5000, 0.7500, 0.5742)  10 Sc 3.37-3.59, 2 Nd 3.42
Sm (0.5000, 0.2500, 0.4258)  10 Sc 3.37-3.59, 2 Nd 3.42

=====

(4)
An optimized crystal structure of Nd7Sm4Sc. Source: Alexandria, functional PBE-GGA.

Calculated values
Space group   No. 12
Density of states at the Fermi level   1.732 states/eV/atom
Offset from the most stable computed form   18.5 kJ/mol of atoms
Formation enthalpy at 0 K   0.22 eV/atom

a = 6.0088 Å, b = 8.7371 Å, c = 9.7871 Å
α = 60.84°, β = 72.12°, γ = 69.89°
Closest atoms and distances in Å follow each position.
Fractional coordinates of all 12 atoms:
Nd (0.9271, 0.4359, 0.7099)  1 Sm 3.35, 1 Sc 3.44, 4 Nd 3.59-3.72
Nd (0.5000, 0.0000, 0.0000)  2 Sc 3.00, 2 Sm 3.14
Nd (0.2817, 0.5570, 0.8796)  4 Sm 3.37-3.65, 5 Nd 3.63-3.73
Nd (0.7183, 0.4430, 0.1204)  4 Sm 3.37-3.65, 5 Nd 3.63-3.73
Nd (0.0729, 0.5641, 0.2901)  1 Sm 3.35, 1 Sc 3.44, 4 Nd 3.59-3.72
Nd (0.8323, 0.9503, 0.3852)  6 Sm 3.27-3.64, 1 Sc 3.43, 1 Nd 3.64
Nd (0.1677, 0.0497, 0.6148)  6 Sm 3.27-3.64, 1 Sc 3.43, 1 Nd 3.64
Sm (0.5845, 0.2789, 0.5521)  2 Sm 3.33-3.49, 4 Nd 3.46-3.65
Sm (0.4155, 0.7211, 0.4479)  2 Sm 3.33-3.49, 4 Nd 3.46-3.65
Sm (0.7095, 0.8108, 0.7701)  4 Nd 3.14-3.37, 1 Sm 3.49
Sm (0.2905, 0.1892, 0.2299)  4 Nd 3.14-3.37, 1 Sm 3.49
Sc (0.0000, 0.0000, 0.0000)  2 Nd 3.00